Record 1
! GGA-PBE TmTlCdO3, optimized geometry; values from VASP
! Spin magnetization, μB/atom: 0.000
! Space-group type: Cmcm
! E, eV/atom: -5.65
! Theoretical density, g/cm3: 8.72
&SYSTEM
  ibrav = 0, nat = 12, ntyp = 4
/
ATOMIC_SPECIES
Cd 112.41 Cd.upf
O 16.00 O.upf
Tl 204.38 Tl.upf
Tm 168.93 Tm.upf
CELL_PARAMETERS angstrom
-4.015 -0.871 -5.682
-1.906 -3.600 -5.707
-5.728 -4.469 4.733
ATOMIC_POSITIONS angstrom
Cd -3.412 -2.613 -2.626
Cd -8.237 -6.328 -4.031
O -2.516 -1.904 -4.389
O -1.691 -1.313 0.685
O -5.053 -3.883 -2.294
O -6.597 -5.057 -4.363
O -9.959 -7.627 -7.341
O -9.133 -7.036 -2.267
Tl -5.346 -4.073 -6.345
Tl -6.304 -4.867 -0.312
Tm 0.000 0.000 0.000
Tm -2.864 -2.234 2.366

***

Record 2
! GGA-PBE Tm2CdO4, optimized geometry; values from VASP
! Spin magnetization, μB/atom: 0.000
! Space-group type: Fd-3m
! E, eV/atom: -7.12
! Theoretical density, g/cm3: 8.23
&SYSTEM
  ibrav = 0, nat = 14, ntyp = 3
/
ATOMIC_SPECIES
Cd 112.41 Cd.upf
O 16.00 O.upf
Tm 168.93 Tm.upf
CELL_PARAMETERS angstrom
4.699 -4.701 0.000
-4.699 0.000 -4.701
4.699 4.701 0.000
ATOMIC_POSITIONS angstrom
Cd 0.000 0.000 0.000
Cd 2.349 -2.350 -2.350
O -1.050 1.050 -3.650
O 3.648 -1.050 -1.050
O 1.050 -1.050 -3.650
O 1.299 1.300 -1.300
O 5.749 1.050 -1.050
O 1.299 3.401 -3.401
O 3.399 3.401 -1.300
O 3.399 1.300 -3.401
Tm -1.175 -1.175 -3.525
Tm 3.524 1.175 -1.175
Tm 1.175 1.175 -3.525
Tm 5.873 -1.175 -1.175

***

Record 3
! GGA-PBE Zn2Cd2O5, optimized geometry; values from VASP
! Space-group type: P4/mmm
! E, eV/atom: -3.95
! Theoretical density, g/cm3: 6.59
! Energy above the most stable polymorph in this dataset, meV per atom: 0
&SYSTEM
  ibrav = 0, nat = 9, ntyp = 3
/
ATOMIC_SPECIES
Cd 112.41 Cd.upf
O 16.00 O.upf
Zn 65.41 Zn.upf
CELL_PARAMETERS angstrom
7.860 0.000 0.000
0.000 3.737 0.000
0.000 0.000 3.737
ATOMIC_POSITIONS angstrom
Cd 0.000 0.000 0.000
Cd 3.930 0.000 0.000
O 1.493 1.868 0.000
O 6.367 1.868 0.000
O 1.493 0.000 1.868
O 6.367 0.000 1.868
O 3.930 1.868 1.868
Zn 1.936 1.868 1.868
Zn 5.924 1.868 1.868

***

Record 4
! GGA-PBE Zn2Cd2O5, optimized geometry; values from VASP
! Space-group type: P4/mmm
! E, eV/atom: -3.53
! Theoretical density, g/cm3: 5.86
! Energy above the most stable polymorph in this dataset, meV per atom: 419
&SYSTEM
  ibrav = 0, nat = 9, ntyp = 3
/
ATOMIC_SPECIES
Cd 112.41 Cd.upf
O 16.00 O.upf
Zn 65.41 Zn.upf
CELL_PARAMETERS angstrom
-7.498 -3.092 2.905
0.322 -2.967 -2.326
1.835 -1.916 2.698
ATOMIC_POSITIONS angstrom
Cd -0.747 -3.195 0.894
Cd -4.593 -4.780 2.384
O -0.847 -1.899 -0.772
O -6.329 -4.160 1.352
O -0.090 -1.373 1.739
O -5.573 -3.634 3.864
O -2.670 -3.987 1.639
Zn 0.000 0.000 0.000
Zn -3.749 -1.546 1.453

***

Record 5
! GGA-PBE Zr2Cd2O5, optimized geometry; values from VASP
! Spin magnetization, μB/atom: 0.000
! Space-group type: P4/mmm
! E, eV/atom: -7.01
! Theoretical density, g/cm3: 6.19
! Energy above the most stable polymorph in this dataset, meV per atom: 0
&SYSTEM
  ibrav = 0, nat = 9, ntyp = 3
/
ATOMIC_SPECIES
Cd 112.41 Cd.upf
O 16.00 O.upf
Zr 91.22 Zr.upf
CELL_PARAMETERS angstrom
-2.002 6.782 -4.401
-3.228 0.501 2.241
2.090 2.245 2.508
ATOMIC_POSITIONS angstrom
Cd 0.000 0.000 0.000
Cd -1.001 3.391 -2.200
O -1.966 1.441 0.348
O -3.265 5.843 -2.508
O 0.694 2.312 0.482
O -0.606 6.714 -2.375
O -1.570 4.764 0.174
Zr -1.087 3.128 1.236
Zr -2.054 6.400 -0.887

***

Record 6
! GGA-PBE Zr3Cd2O8, optimized geometry; values from VASP
! Spin magnetization, μB/atom: 0.000
! Space-group type: C2/m
! E, eV/atom: -7.70
! Theoretical density, g/cm3: 5.76
&SYSTEM
  ibrav = 0, nat = 13, ntyp = 3
/
ATOMIC_SPECIES
Cd 112.41 Cd.upf
O 16.00 O.upf
Zr 91.22 Zr.upf
CELL_PARAMETERS angstrom
5.495 -3.244 0.000
5.495 3.244 0.000
-1.988 0.000 5.069
ATOMIC_POSITIONS angstrom
Cd 2.435 0.000 1.787
Cd 6.569 0.000 3.283
O 4.177 0.000 0.360
O 9.675 0.000 0.439
O 5.942 -1.792 2.034
O 5.942 1.792 2.034
O 3.061 -1.792 3.035
O 3.061 1.792 3.035
O -0.672 0.000 4.631
O 4.826 0.000 4.709
Zr 5.495 -1.534 0.000
Zr 5.495 1.534 0.000
Zr -0.994 0.000 2.535

***

Record 7
! GGA-PBE ZrCdO3, optimized geometry; values from VASP
! Spin magnetization, μB/atom: 0.000
! Space-group type: Pnma
! E, eV/atom: -7.24
! Theoretical density, g/cm3: 6.55
&SYSTEM
  ibrav = 0, nat = 20, ntyp = 3
/
ATOMIC_SPECIES
Cd 112.41 Cd.upf
O 16.00 O.upf
Zr 91.22 Zr.upf
CELL_PARAMETERS angstrom
5.534 0.000 0.000
0.000 5.726 0.000
0.000 0.000 8.050
ATOMIC_POSITIONS angstrom
Cd 5.469 0.279 2.013
Cd 2.832 3.143 2.013
Cd 2.702 2.584 6.038
Cd 0.065 5.447 6.038
O 3.808 1.763 0.495
O 4.493 4.626 0.495
O 0.632 2.564 2.013
O 2.135 5.428 2.013
O 3.808 1.763 3.530
O 4.493 4.626 3.530
O 1.041 1.101 4.520
O 1.726 3.964 4.520
O 3.399 0.299 6.038
O 4.903 3.162 6.038
O 1.041 1.101 7.555
O 1.726 3.964 7.555
Zr 2.767 0.000 0.000
Zr 0.000 2.863 0.000
Zr 2.767 0.000 4.025
Zr 0.000 2.863 4.025

***

Record 8
! GGA-PBE ZrCdO3, optimized geometry; values from VASP
! Spin magnetization, μB/atom: 0.000
! Space-group type: P4mm
! E, eV/atom: -7.04
! Theoretical density, g/cm3: 5.85
&SYSTEM
  ibrav = 0, nat = 5, ntyp = 3
/
ATOMIC_SPECIES
Cd 112.41 Cd.upf
O 16.00 O.upf
Zr 91.22 Zr.upf
CELL_PARAMETERS angstrom
-1.109 -3.693 -1.327
3.849 -1.293 0.380
-0.805 -1.209 4.039
ATOMIC_POSITIONS angstrom
Cd -0.755 -1.134 3.787
O 1.290 -2.612 -0.075
O -1.080 -2.635 1.971
O 1.399 -1.435 2.825
Zr 0.920 -3.169 1.784

***

Record 9
! GGA-PBE ZrCdO3, optimized geometry; values from VASP
! Spin magnetization, μB/atom: 0.000
! Space-group type: R-3c
! E, eV/atom: -7.23
! Theoretical density, g/cm3: 6.39
&SYSTEM
  ibrav = 0, nat = 10, ntyp = 3
/
ATOMIC_SPECIES
Cd 112.41 Cd.upf
O 16.00 O.upf
Zr 91.22 Zr.upf
CELL_PARAMETERS angstrom
2.817 -1.626 -4.759
-2.817 -1.626 -4.759
0.000 3.253 -4.759
ATOMIC_POSITIONS angstrom
Cd 0.000 0.000 -3.569
Cd 0.000 0.000 -10.707
O 1.094 -1.359 -5.948
O -0.630 -1.626 -8.328
O -1.723 -0.268 -5.948
O 1.723 0.268 -8.328
O 0.630 1.626 -5.948
O -1.094 1.359 -8.328
Zr 0.000 0.000 0.000
Zr 0.000 0.000 -7.138

***

Record 10
! GGA-PBE Zr2Cd2O5, optimized geometry; values from VASP
! Spin magnetization, μB/atom: 0.122
! Space-group type: P4/mmm
! E, eV/atom: -6.23
! Theoretical density, g/cm3: 6.38
! Energy above the most stable polymorph in this dataset, meV per atom: 778
&SYSTEM
  ibrav = 0, nat = 9, ntyp = 3
/
ATOMIC_SPECIES
Cd 112.41 Cd.upf
O 16.00 O.upf
Zr 91.22 Zr.upf
CELL_PARAMETERS angstrom
-8.467 -0.560 4.994
1.090 -3.071 1.503
1.472 1.845 2.703
ATOMIC_POSITIONS angstrom
Cd -0.903 -0.757 3.391
Cd -5.002 -1.028 5.809
O -0.547 -1.608 1.396
O -6.830 -2.023 5.101
O -0.356 0.850 1.995
O -6.639 0.435 5.701
O -2.953 -0.893 4.600
Zr 0.000 0.000 0.000
Zr -4.233 -0.280 2.497

***

Record 11
! GGA-PBE Cd2SiP4Os, optimized geometry; values from VASP
! Spin magnetization, μB/atom: 0.000
! Space-group type: I-4
! E, eV/atom: -5.03
! Theoretical density, g/cm3: 5.40
&SYSTEM
  ibrav = 0, nat = 8, ntyp = 4
/
ATOMIC_SPECIES
Cd 112.41 Cd.upf
Os 190.23 Os.upf
P 30.97 P.upf
Si 28.09 Si.upf
CELL_PARAMETERS angstrom
5.154 -2.611 -3.452
5.582 1.464 3.463
-5.737 -2.864 2.043
ATOMIC_POSITIONS angstrom
Cd 5.368 -0.574 0.006
Cd 2.606 -0.987 2.756
Os 0.000 0.000 0.000
P 3.897 -1.719 -1.801
P 1.159 -1.785 0.755
P 6.510 -2.512 1.302
P -1.569 -2.007 3.853
Si 2.392 -3.024 -0.702

***

Record 12
! GGA-PBE PaCdOs, optimized geometry; values from VASP
! Spin magnetization, μB/atom: 0.001
! Space-group type: F-43m
! E, eV/atom: -6.39
! Theoretical density, g/cm3: 11.93
! Energy above the most stable polymorph in this dataset, meV per atom: 636
&SYSTEM
  ibrav = 0, nat = 3, ntyp = 3
/
ATOMIC_SPECIES
Cd 112.41 Cd.upf
Os 190.23 Os.upf
Pa 231.04 Pa.upf
CELL_PARAMETERS angstrom
0.000 3.337 3.337
3.337 0.000 3.337
3.337 3.337 0.000
ATOMIC_POSITIONS angstrom
Cd 1.668 1.668 1.668
Os 5.005 5.005 5.005
Pa 0.000 0.000 0.000

***

Record 13
! GGA-PBE PaCdOs, optimized geometry; values from VASP
! Spin magnetization, μB/atom: 0.009
! Space-group type: F-43m
! E, eV/atom: -7.03
! Theoretical density, g/cm3: 12.48
! Energy above the most stable polymorph in this dataset, meV per atom: 0
&SYSTEM
  ibrav = 0, nat = 3, ntyp = 3
/
ATOMIC_SPECIES
Cd 112.41 Cd.upf
Os 190.23 Os.upf
Pa 231.04 Pa.upf
CELL_PARAMETERS angstrom
0.000 3.286 3.286
3.286 0.000 3.286
3.286 3.286 0.000
ATOMIC_POSITIONS angstrom
Cd 1.643 1.643 1.643
Os 0.000 0.000 0.000
Pa 4.930 4.930 4.930

***

Record 14
! GGA-PBE CdOs2Pb, optimized geometry; values from VASP
! Spin magnetization, μB/atom: 0.018
! Space-group type: F-43m
! E, eV/atom: -5.66
! Theoretical density, g/cm3: 15.91
&SYSTEM
  ibrav = 0, nat = 4, ntyp = 3
/
ATOMIC_SPECIES
Cd 112.41 Cd.upf
Os 190.23 Os.upf
Pb 207.20 Pb.upf
CELL_PARAMETERS angstrom
0.000 3.318 3.318
3.318 0.000 3.318
3.318 3.318 0.000
ATOMIC_POSITIONS angstrom
Cd 1.659 1.659 1.659
Os 0.000 0.000 0.000
Os 4.977 4.977 4.977
Pb 3.318 3.318 3.318

***

Record 15
! GGA-PBE Cd2OsPb, optimized geometry; values from VASP
! Spin magnetization, μB/atom: 0.077
! Space-group type: F-43m
! E, eV/atom: -3.46
! Theoretical density, g/cm3: 12.67
&SYSTEM
  ibrav = 0, nat = 4, ntyp = 3
/
ATOMIC_SPECIES
Cd 112.41 Cd.upf
Os 190.23 Os.upf
Pb 207.20 Pb.upf
CELL_PARAMETERS angstrom
-4.187 -2.223 -1.103
-3.372 2.326 -2.629
-0.890 -1.378 -4.583
ATOMIC_POSITIONS angstrom
Cd 0.000 0.000 0.000
Cd -6.337 -0.957 -6.236
Os -2.112 -0.319 -2.079
Pb -4.224 -0.638 -4.157

***

Record 16
! GGA-PBE CdOsPd, optimized geometry; values from VASP
! Spin magnetization, μB/atom: 0.695
! Space-group type: F-43m
! E, eV/atom: -4.92
! Theoretical density, g/cm3: 11.72
! Energy above the most stable polymorph in this dataset, meV per atom: 0
&SYSTEM
  ibrav = 0, nat = 3, ntyp = 3
/
ATOMIC_SPECIES
Cd 112.41 Cd.upf
Os 190.23 Os.upf
Pd 106.42 Pd.upf
CELL_PARAMETERS angstrom
0.000 3.072 3.072
3.072 0.000 3.072
3.072 3.072 0.000
ATOMIC_POSITIONS angstrom
Cd 1.536 1.536 1.536
Os 4.608 4.608 4.608
Pd 0.000 0.000 0.000

***

Record 17
! GGA-PBE CdOs2Pd, optimized geometry; values from VASP
! Spin magnetization, μB/atom: 0.002
! Space-group type: F-43m
! E, eV/atom: -6.52
! Theoretical density, g/cm3: 15.75
&SYSTEM
  ibrav = 0, nat = 4, ntyp = 3
/
ATOMIC_SPECIES
Cd 112.41 Cd.upf
Os 190.23 Os.upf
Pd 106.42 Pd.upf
CELL_PARAMETERS angstrom
0.000 3.161 3.161
3.161 0.000 3.161
3.161 3.161 0.000
ATOMIC_POSITIONS angstrom
Cd 3.161 3.161 3.161
Os 0.000 0.000 0.000
Os 1.581 1.581 1.581
Pd 4.742 4.742 4.742

***

Record 18
! GGA-PBE PmCdOs, optimized geometry; values from VASP
! Spin magnetization, μB/atom: 0.002
! Space-group type: F-43m
! E, eV/atom: -4.95
! Theoretical density, g/cm3: 10.21
! Energy above the most stable polymorph in this dataset, meV per atom: 0
&SYSTEM
  ibrav = 0, nat = 3, ntyp = 3
/
ATOMIC_SPECIES
Cd 112.41 Cd.upf
Os 190.23 Os.upf
Pm 145.00 Pm.upf
CELL_PARAMETERS angstrom
1.105 -2.768 3.617
-2.945 -0.411 3.622
-2.331 -4.008 0.681
ATOMIC_POSITIONS angstrom
Cd 0.000 0.000 0.000
Os -1.043 -1.797 1.980
Pm -3.129 -5.390 5.940

***

Record 19
! GGA-PBE PmCdOs, optimized geometry; values from VASP
! Spin magnetization, μB/atom: 0.003
! Space-group type: F-43m
! E, eV/atom: -4.66
! Theoretical density, g/cm3: 9.50
! Energy above the most stable polymorph in this dataset, meV per atom: 293
&SYSTEM
  ibrav = 0, nat = 3, ntyp = 3
/
ATOMIC_SPECIES
Cd 112.41 Cd.upf
Os 190.23 Os.upf
Pm 145.00 Pm.upf
CELL_PARAMETERS angstrom
-3.037 -2.825 2.416
-1.234 1.102 4.506
-4.447 1.528 0.965
ATOMIC_POSITIONS angstrom
Cd -4.359 -0.098 3.944
Os 0.000 0.000 0.000
Pm -2.180 -0.049 1.972

***

Record 20
! GGA-PBE CdOsPt, optimized geometry; values from VASP
! Spin magnetization, μB/atom: 0.672
! Space-group type: F-43m
! E, eV/atom: -5.35
! Theoretical density, g/cm3: 14.07
! Energy above the most stable polymorph in this dataset, meV per atom: 0
&SYSTEM
  ibrav = 0, nat = 3, ntyp = 3
/
ATOMIC_SPECIES
Cd 112.41 Cd.upf
Os 190.23 Os.upf
Pt 195.08 Pt.upf
CELL_PARAMETERS angstrom
-1.385 -0.517 4.106
-3.277 -2.747 0.868
0.787 -3.735 2.114
ATOMIC_POSITIONS angstrom
Cd -0.969 -1.750 1.772
Os -2.906 -5.249 5.316
Pt 0.000 0.000 0.000